[1]
Density functional theory data (PBE) for a geometry-optimized KBaAcI6 structure.

```
data_KBaAcI6
_chemical_formula_sum 'K2 Ba2 Ac2 I12'
_cell_length_a 8.0666
_cell_length_b 8.0666
_cell_length_c 15.5465
_cell_angle_alpha 90.00
_cell_angle_beta 90.00
_cell_angle_gamma 90.00
_symmetry_space_group_name_H-M 'P 42 n m'
_symmetry_Int_Tables_number 102
loop_
_symmetry_equiv_pos_as_xyz
'x,y,z'
'-y+1/2,x+1/2,z+1/2'
'-x,-y,z'
'y+1/2,-x+1/2,z+1/2'
'-x+1/2,y+1/2,z+1/2'
'y,x,z'
'x+1/2,-y+1/2,z+1/2'
'-y,-x,z'
loop_
_atom_site_label
_atom_site_type_symbol
_atom_site_fract_x
_atom_site_fract_y
_atom_site_fract_z
K1 K 0.0000 0.0000 0.0000
Ba1 Ba 0.0000 0.0000 0.6678
Ac1 Ac 0.0000 0.0000 0.3335
I1 I 0.1892 0.1892 0.4921
I2 I 0.1953 0.1953 0.1788
I3 I 0.2116 0.2116 0.8301
```

DOS at the Fermi energy (states/eV per atom): 0.000
E_tot (eV/atom): -3.418

***

[2]
Density functional theory data (PBE) for a geometry-optimized LiZnC structure.

```
data_LiZnC
_chemical_formula_sum 'Li4 Zn4 C4'
_cell_length_a 5.0213
_cell_length_b 5.0213
_cell_length_c 5.0213
_cell_angle_alpha 90.00
_cell_angle_beta 90.00
_cell_angle_gamma 90.00
_symmetry_space_group_name_H-M 'F -4 3 m'
_symmetry_Int_Tables_number 216
_symmetry_space_group_name_Hall 'F -4 2 3'
loop_
_atom_site_label
_atom_site_type_symbol
_atom_site_fract_x
_atom_site_fract_y
_atom_site_fract_z
Li1 Li 0.0000 0.0000 0.0000
Zn1 Zn 0.0000 0.0000 0.5000
C1 C 0.2500 0.2500 0.7500
```

DOS at the Fermi energy (states/eV per atom): 0.765
Formation energy (meV per atom): 553

***

[3]
Density functional theory data (PBE) for a geometry-optimized Sm3Er8Tm4 structure.

```
data_Sm3Er8Tm4
_chemical_formula_sum 'Sm6 Er16 Tm8'
_cell_length_a 13.2527
_cell_length_b 12.7652
_cell_length_c 6.6589
_cell_angle_alpha 90.00
_cell_angle_beta 119.97
_cell_angle_gamma 90.00
_symmetry_space_group_name_H-M 'C 1 2/m 1'
_symmetry_Int_Tables_number 12
loop_
_symmetry_equiv_pos_as_xyz
'x,y,z'
'-x,-y,-z'
'-x,y,-z'
'x,-y,z'
'x+1/2,y+1/2,z'
'-x+1/2,-y+1/2,-z'
'-x+1/2,y+1/2,-z'
'x+1/2,-y+1/2,z'
loop_
_atom_site_label
_atom_site_type_symbol
_atom_site_fract_x
_atom_site_fract_y
_atom_site_fract_z
Sm1 Sm 0.0000 0.0000 0.0000
Sm2 Sm 0.2500 0.2500 0.0000
Er1 Er 0.0000 0.1401 0.5000
Er2 Er 0.0000 0.2493 0.0000
Er3 Er 0.2310 0.0000 0.9506
Er4 Er 0.2414 0.0000 0.4817
Tm1 Tm 0.0000 0.5000 0.0000
Tm2 Tm 0.0000 0.5000 0.5000
Tm3 Tm 0.2500 0.2500 0.5000
```

DOS at the Fermi energy (states/eV per atom): 1.903
Formation energy (meV per atom): 410

***

[4]
Density functional theory data (PBE) for a geometry-optimized CrTePPb2 structure.

```
data_CrTePPb2
_chemical_formula_sum 'Cr1 Te1 P1 Pb2'
_cell_length_a 5.9768
_cell_length_b 5.9768
_cell_length_c 5.0025
_cell_angle_alpha 90.00
_cell_angle_beta 90.00
_cell_angle_gamma 90.00
_symmetry_space_group_name_H-M 'P 4/m m m'
_symmetry_Int_Tables_number 123
_symmetry_space_group_name_Hall '-P 4 2'
loop_
_atom_site_label
_atom_site_type_symbol
_atom_site_fract_x
_atom_site_fract_y
_atom_site_fract_z
Cr1 Cr 0.0000 0.0000 0.0000
Te1 Te 0.5000 0.5000 0.5000
P1 P 0.5000 0.5000 0.0000
Pb1 Pb 0.0000 0.5000 0.5000
```

DOS at the Fermi energy (states/eV per atom): 0.618
E_tot (eV/atom): -4.021

***

[5]
Density functional theory data (PBE) for a geometry-optimized CoNiAg structure.

```
data_CoNiAg
_chemical_formula_sum 'Co2 Ni2 Ag2'
_cell_length_a 2.7003
_cell_length_b 2.7003
_cell_length_c 10.9871
_cell_angle_alpha 90.00
_cell_angle_beta 90.00
_cell_angle_gamma 90.00
_symmetry_space_group_name_H-M 'I 4 m m'
_symmetry_Int_Tables_number 107
_symmetry_space_group_name_Hall 'I 4 -2'
loop_
_atom_site_label
_atom_site_type_symbol
_atom_site_fract_x
_atom_site_fract_y
_atom_site_fract_z
Co1 Co 0.0000 0.0000 0.0000
Ni1 Ni 0.0000 0.0000 0.6331
Ag1 Ag 0.0000 0.0000 0.3155
```

DOS at the Fermi energy (states/eV per atom): 0.791
Formation energy (meV per atom): 244

***

[6]
Density functional theory data (PBE) for a geometry-optimized TlCuAg2Cl4 structure.

```
data_TlCuAg2Cl4
_chemical_formula_sum 'Tl4 Cu4 Ag8 Cl16'
_cell_length_a 9.2918
_cell_length_b 9.3367
_cell_length_c 10.2289
_cell_angle_alpha 90.00
_cell_angle_beta 90.00
_cell_angle_gamma 90.00
_symmetry_space_group_name_H-M 'F m m 2'
_symmetry_Int_Tables_number 42
_symmetry_space_group_name_Hall 'F 2 -2'
loop_
_atom_site_label
_atom_site_type_symbol
_atom_site_fract_x
_atom_site_fract_y
_atom_site_fract_z
Tl1 Tl 0.0000 0.0000 0.0000
Cu1 Cu 0.0000 0.0000 0.5037
Ag1 Ag 0.2500 0.2500 0.2527
Cl1 Cl 0.0000 0.1990 0.3654
Cl2 Cl 0.2005 0.0000 0.6408
```

E_tot (eV/atom): -3.005

***

[7]
Density functional theory data (PBE) for a geometry-optimized Ga2Sn2Bi structure.

```
data_Ga2Sn2Bi
_chemical_formula_sum 'Ga4 Sn4 Bi2'
_cell_length_a 3.7013
_cell_length_b 3.7013
_cell_length_c 21.8107
_cell_angle_alpha 90.00
_cell_angle_beta 90.00
_cell_angle_gamma 90.00
_symmetry_space_group_name_H-M 'I 4/m m m'
_symmetry_Int_Tables_number 139
_symmetry_space_group_name_Hall '-I 4 2'
loop_
_atom_site_label
_atom_site_type_symbol
_atom_site_fract_x
_atom_site_fract_y
_atom_site_fract_z
Ga1 Ga 0.0000 0.5000 0.2500
Sn1 Sn 0.0000 0.0000 0.1448
Bi1 Bi 0.0000 0.0000 0.0000
```

DOS at the Fermi energy (states/eV per atom): 0.501
Formation energy (meV per atom): 210

***

[8]
Density functional theory data (PBE) for a geometry-optimized Zr2Mn2Cl structure.

```
data_Zr2Mn2Cl
_chemical_formula_sum 'Zr4 Mn4 Cl2'
_cell_length_a 3.2372
_cell_length_b 3.2372
_cell_length_c 16.2129
_cell_angle_alpha 90.00
_cell_angle_beta 90.00
_cell_angle_gamma 90.00
_symmetry_space_group_name_H-M 'I 4/m m m'
_symmetry_Int_Tables_number 139
_symmetry_space_group_name_Hall '-I 4 2'
loop_
_atom_site_label
_atom_site_type_symbol
_atom_site_fract_x
_atom_site_fract_y
_atom_site_fract_z
Zr1 Zr 0.0000 0.0000 0.1141
Mn1 Mn 0.0000 0.5000 0.2500
Cl1 Cl 0.0000 0.0000 0.5000
```

DOS at the Fermi energy (states/eV per atom): 0.769
E_tot (eV/atom): -7.492

***

[9]
Density functional theory data (PBE) for a geometry-optimized La6CoNiAg2 structure.

```
data_La6CoNiAg2
_chemical_formula_sum 'La6 Co1 Ni1 Ag2'
_cell_length_a 7.3249
_cell_length_b 7.3266
_cell_length_c 7.3376
_cell_angle_alpha 63.72
_cell_angle_beta 63.89
_cell_angle_gamma 63.68
_symmetry_space_group_name_H-M 'P -1'
_symmetry_Int_Tables_number 2
loop_
_symmetry_equiv_pos_as_xyz
'x,y,z'
'-x,-y,-z'
loop_
_atom_site_label
_atom_site_type_symbol
_atom_site_fract_x
_atom_site_fract_y
_atom_site_fract_z
La1 La 0.1520 0.2543 0.3410
La2 La 0.2420 0.1586 0.8485
La3 La 0.3435 0.6498 0.7574
Co1 Co 0.0000 0.5000 0.0000
Ni1 Ni 0.5000 0.0000 0.5000
Ag1 Ag 0.2484 0.7522 0.2520
```

DOS at the Fermi energy (states/eV per atom): 1.121
Formation energy (meV per atom): -149

***

[10]
Density functional theory data (PBE) for a geometry-optimized ZnRuPtI2 structure.

```
data_ZnRuPtI2
_chemical_formula_sum 'Zn1 Ru1 Pt1 I2'
_cell_length_a 5.5442
_cell_length_b 5.5442
_cell_length_c 4.7485
_cell_angle_alpha 90.00
_cell_angle_beta 90.00
_cell_angle_gamma 90.00
_symmetry_space_group_name_H-M 'P 4/m m m'
_symmetry_Int_Tables_number 123
_symmetry_space_group_name_Hall '-P 4 2'
loop_
_atom_site_label
_atom_site_type_symbol
_atom_site_fract_x
_atom_site_fract_y
_atom_site_fract_z
Zn1 Zn 0.0000 0.0000 0.0000
Ru1 Ru 0.5000 0.5000 0.0000
Pt1 Pt 0.0000 0.0000 0.5000
I1 I 0.0000 0.5000 0.5000
```

DOS at the Fermi energy (states/eV per atom): 0.439
E_tot (eV/atom): -3.001

***

[11]
Density functional theory data (PBE) for a geometry-optimized Ba2CuP2 structure.

```
data_Ba2CuP2
_chemical_formula_sum 'Ba4 Cu2 P4'
_cell_length_a 7.8737
_cell_length_b 7.8737
_cell_length_c 4.5371
_cell_angle_alpha 90.00
_cell_angle_beta 90.00
_cell_angle_gamma 90.00
_symmetry_space_group_name_H-M 'P 4/m b m'
_symmetry_Int_Tables_number 127
_symmetry_space_group_name_Hall '-P 4 2ab'
loop_
_atom_site_label
_atom_site_type_symbol
_atom_site_fract_x
_atom_site_fract_y
_atom_site_fract_z
Ba1 Ba 0.1891 0.3109 0.0000
Cu1 Cu 0.0000 0.0000 0.5000
P1 P 0.0990 0.5990 0.5000
```

DOS at the Fermi energy (states/eV per atom): 0.613
Formation energy (meV per atom): -522

***

[12]
Density functional theory data (PBE) for a geometry-optimized BaCaN3 structure.

```
data_BaCaN3
_chemical_formula_sum 'Ba1 Ca1 N3'
_cell_length_a 4.5635
_cell_length_b 4.5635
_cell_length_c 4.5635
_cell_angle_alpha 90.00
_cell_angle_beta 90.00
_cell_angle_gamma 90.00
_symmetry_space_group_name_H-M 'P m -3 m'
_symmetry_Int_Tables_number 221
_symmetry_space_group_name_Hall '-P 4 2 3'
loop_
_atom_site_label
_atom_site_type_symbol
_atom_site_fract_x
_atom_site_fract_y
_atom_site_fract_z
Ba1 Ba 0.0000 0.0000 0.0000
Ca1 Ca 0.5000 0.5000 0.5000
N1 N 0.0000 0.5000 0.5000
```

DOS at the Fermi energy (states/eV per atom): 0.828
E_tot (eV/atom): -4.937

***

[13]
Density functional theory data (PBE) for a geometry-optimized LiSbCl2 structure.

```
data_LiSbCl2
_chemical_formula_sum 'Li4 Sb4 Cl8'
_cell_length_a 6.6577
_cell_length_b 6.6577
_cell_length_c 9.2962
_cell_angle_alpha 90.00
_cell_angle_beta 90.00
_cell_angle_gamma 90.00
_symmetry_space_group_name_H-M 'I -4 2 d'
_symmetry_Int_Tables_number 122
_symmetry_space_group_name_Hall 'I -4 2bw'
loop_
_atom_site_label
_atom_site_type_symbol
_atom_site_fract_x
_atom_site_fract_y
_atom_site_fract_z
Li1 Li 0.0000 0.0000 0.0000
Sb1 Sb 0.0000 0.0000 0.5000
Cl1 Cl 0.1717 0.2500 0.1250
```

DOS at the Fermi energy (states/eV per atom): 0.433
E_tot (eV/atom): -3.073

***

[14]
Density functional theory data (PBE) for a geometry-optimized SrAl2Tl structure.

```
data_SrAl2Tl
_chemical_formula_sum 'Sr1 Al2 Tl1'
_cell_length_a 4.6676
_cell_length_b 4.6676
_cell_length_c 4.6786
_cell_angle_alpha 90.00
_cell_angle_beta 90.00
_cell_angle_gamma 90.00
_symmetry_space_group_name_H-M 'P 4/m m m'
_symmetry_Int_Tables_number 123
_symmetry_space_group_name_Hall '-P 4 2'
loop_
_atom_site_label
_atom_site_type_symbol
_atom_site_fract_x
_atom_site_fract_y
_atom_site_fract_z
Sr1 Sr 0.0000 0.0000 0.0000
Al1 Al 0.0000 0.5000 0.5000
Tl1 Tl 0.5000 0.5000 0.0000
```

DOS at the Fermi energy (states/eV per atom): 0.730
Formation energy (meV per atom): 0

***

[15]
Density functional theory data (PBE) for a geometry-optimized CsC2 structure.

```
data_CsC2
_chemical_formula_sum 'Cs2 C4'
_cell_length_a 2.9165
_cell_length_b 2.9165
_cell_length_c 11.9513
_cell_angle_alpha 90.00
_cell_angle_beta 90.00
_cell_angle_gamma 120.00
_symmetry_space_group_name_H-M 'P 63/m m c'
_symmetry_Int_Tables_number 194
_symmetry_space_group_name_Hall '-P 6c 2c'
loop_
_atom_site_label
_atom_site_type_symbol
_atom_site_fract_x
_atom_site_fract_y
_atom_site_fract_z
Cs1 Cs 0.3333 0.6667 0.2500
C1 C 0.3333 0.6667 0.5060
```

DOS at the Fermi energy (states/eV per atom): 0.241
Formation energy (meV per atom): 1756

***

[16]
Density functional theory data (PBE) for a geometry-optimized NaAl2Au structure.

```
data_NaAl2Au
_chemical_formula_sum 'Na3 Al6 Au3'
_cell_length_a 4.4008
_cell_length_b 4.4008
_cell_length_c 16.4017
_cell_angle_alpha 90.00
_cell_angle_beta 90.00
_cell_angle_gamma 120.00
_symmetry_space_group_name_H-M 'R -3 m'
_symmetry_Int_Tables_number 166
_symmetry_space_group_name_Hall '-R 3 2"'
loop_
_atom_site_label
_atom_site_type_symbol
_atom_site_fract_x
_atom_site_fract_y
_atom_site_fract_z
Na1 Na 0.0000 0.0000 0.0000
Al1 Al 0.0000 0.0000 0.2022
Au1 Au 0.0000 0.0000 0.5000
```

DOS at the Fermi energy (states/eV per atom): 0.354
Formation energy (meV per atom): -182

***

[17]
Density functional theory data (PBE) for a geometry-optimized RbCr structure.

```
data_RbCr
_chemical_formula_sum 'Rb6 Cr6'
_cell_length_a 10.5872
_cell_length_b 10.5872
_cell_length_c 10.5872
_cell_angle_alpha 90.00
_cell_angle_beta 90.00
_cell_angle_gamma 90.00
_symmetry_space_group_name_H-M 'P m -3 n'
_symmetry_Int_Tables_number 223
_symmetry_space_group_name_Hall '-P 4n 2 3'
loop_
_atom_site_label
_atom_site_type_symbol
_atom_site_fract_x
_atom_site_fract_y
_atom_site_fract_z
Rb1 Rb 0.0000 0.2500 0.5000
Cr1 Cr 0.0000 0.5000 0.2500
```

DOS at the Fermi energy (states/eV per atom): 0.010
Formation energy (meV per atom): 1604

***

[18]
Density functional theory data (PBE) for a geometry-optimized Nb3IrRu3 structure.

```
data_Nb3IrRu3
_chemical_formula_sum 'Nb12 Ir4 Ru12'
_cell_length_a 8.8310
_cell_length_b 9.2052
_cell_length_c 5.7084
_cell_angle_alpha 90.00
_cell_angle_beta 90.00
_cell_angle_gamma 90.00
_symmetry_space_group_name_H-M 'C m m m'
_symmetry_Int_Tables_number 65
_symmetry_space_group_name_Hall '-C 2 2'
loop_
_atom_site_label
_atom_site_type_symbol
_atom_site_fract_x
_atom_site_fract_y
_atom_site_fract_z
Nb1 Nb 0.0000 0.1618 0.0000
Nb2 Nb 0.0000 0.2788 0.5000
Nb3 Nb 0.1808 0.0000 0.5000
Ir1 Ir 0.2397 0.0000 0.0000
Ru1 Ru 0.0000 0.5000 0.2294
Ru2 Ru 0.2500 0.2500 0.2438
```

DOS at the Fermi energy (states/eV per atom): 1.004
Formation energy (meV per atom): -93

***

[19]
Density functional theory data (PBE) for a geometry-optimized LuTh2Zn structure.

```
data_LuTh2Zn
_chemical_formula_sum 'Lu1 Th2 Zn1'
_cell_length_a 3.5301
_cell_length_b 3.5301
_cell_length_c 9.0609
_cell_angle_alpha 90.00
_cell_angle_beta 90.00
_cell_angle_gamma 90.00
_symmetry_space_group_name_H-M 'P 4/m m m'
_symmetry_Int_Tables_number 123
_symmetry_space_group_name_Hall '-P 4 2'
loop_
_atom_site_label
_atom_site_type_symbol
_atom_site_fract_x
_atom_site_fract_y
_atom_site_fract_z
Lu1 Lu 0.0000 0.0000 0.0000
Th1 Th 0.5000 0.5000 0.2808
Zn1 Zn 0.0000 0.0000 0.5000
```

DOS at the Fermi energy (states/eV per atom): 1.205
Formation energy (meV per atom): -18

***

[20]
Density functional theory data (PBE) for a geometry-optimized CaLaAg2C structure.

```
data_CaLaAg2C
_chemical_formula_sum 'Ca1 La1 Ag2 C1'
_cell_length_a 5.0946
_cell_length_b 5.0946
_cell_length_c 6.5580
_cell_angle_alpha 90.00
_cell_angle_beta 90.00
_cell_angle_gamma 90.00
_symmetry_space_group_name_H-M 'P 4/m m m'
_symmetry_Int_Tables_number 123
_symmetry_space_group_name_Hall '-P 4 2'
loop_
_atom_site_label
_atom_site_type_symbol
_atom_site_fract_x
_atom_site_fract_y
_atom_site_fract_z
Ca1 Ca 0.0000 0.0000 0.0000
La1 La 0.0000 0.0000 0.5000
Ag1 Ag 0.0000 0.5000 0.0000
C1 C 0.5000 0.5000 0.5000
```

DOS at the Fermi energy (states/eV per atom): 0.827
Formation energy (meV per atom): 1939